(1)
## Tm3Si2Ni7 (PBE)

Data for Tm3Si2Ni7 after structural relaxation.

Values from the calculation:
crystal system = orthorhombic
excess energy over the best structure of this formula in the dataset = 269 meV/atom
total moment = 0.00 μB/atom
calculated density = 8.492 g/cm3
formation energy (no corrections) = -0.3604 eV per atom

Cell lengths 13.3735, 13.3735, 3.6534 Å; angles 90.00, 90.00, 163.06 degrees
Closest atoms and distances in Å follow each position.
Fractional coordinates of all 12 atoms:
Tm 0.0000 0.0000 0.0000  4 Ni 2.69
Tm 0.2017 0.7983 0.0000  8 Ni 2.69-2.71
Tm 0.7983 0.2017 0.0000  8 Ni 2.69-2.71
Si 0.4176 0.5824 0.5000  5 Ni 2.18-2.28
Si 0.5824 0.4176 0.5000  5 Ni 2.18-2.28
Ni 0.1261 0.8739 0.5000  2 Si 2.28
Ni 0.2927 0.7073 0.5000  4 Tm 2.69, 6 Ni 2.71-3.00
Ni 0.3684 0.6316 0.0000  2 Si 2.24
Ni 0.5000 0.5000 0.5000  2 Si 2.18
Ni 0.6316 0.3684 0.0000  2 Si 2.24
Ni 0.7073 0.2927 0.5000  4 Tm 2.69, 6 Ni 2.71-3.00
Ni 0.8739 0.1261 0.5000  2 Si 2.28

(2)
## AcDy7Y12 (PBE)

Data for AcDy7Y12 after structural relaxation.

Values from the calculation:
crystal system = cubic
energy of formation = 663 meV per atom
excess energy over the best structure of this formula in the dataset = 421 meV/atom
total moment = 0.00 μB/atom
calculated density = 5.504 g/cm3

Cell lengths 9.8405, 9.8405, 9.8405 Å; angles 109.47, 109.47, 109.47 degrees
Closest atoms and distances in Å follow each position.
Fractional coordinates of all 20 atoms:
Ac 0.0000 0.0000 0.0000  12 Y 4.16
Dy 0.0000 0.0000 0.5000  6 Y 2.84
Dy 0.0000 0.5000 0.0000  6 Y 2.84
Dy 0.0000 0.5000 0.5000  12 Y 3.88-4.02
Dy 0.5000 0.0000 0.0000  6 Y 2.84
Dy 0.5000 0.0000 0.5000  12 Y 3.88-4.02
Dy 0.5000 0.5000 0.0000  12 Y 3.88-4.02
Dy 0.5000 0.5000 0.5000  6 Y 2.84
Y 0.0000 0.2588 0.7412  2 Dy 2.84
Y 0.0000 0.7412 0.2588  2 Dy 2.84
Y 0.2588 0.0000 0.7412  2 Dy 2.84
Y 0.2588 0.2588 0.5177  2 Dy 2.84
Y 0.2588 0.5177 0.2588  2 Dy 2.84
Y 0.2588 0.7412 0.0000  2 Dy 2.84
Y 0.4823 0.7412 0.7412  2 Dy 2.84
Y 0.5177 0.2588 0.2588  2 Dy 2.84
Y 0.7412 0.0000 0.2588  2 Dy 2.84
Y 0.7412 0.2588 0.0000  2 Dy 2.84
Y 0.7412 0.4823 0.7412  2 Dy 2.84
Y 0.7412 0.7412 0.4823  2 Dy 2.84

(3)
## Tb8TcPt2 (PBE)

Data for Tb8TcPt2 after structural relaxation.

Values from the calculation:
crystal system = monoclinic
energy of formation = -412 meV per atom
total moment = 0.00 μB/atom
calculated density = 9.793 g/cm3

Cell lengths 7.6839, 7.6839, 5.8544 Å; angles 100.25, 100.25, 114.03 degrees
Closest atoms and distances in Å follow each position.
Fractional coordinates of all 11 atoms:
Tb 0.0000 0.0000 0.0000  1 Tc 2.87, 2 Pt 3.10
Tb 0.0333 0.2806 0.5924  2 Pt 2.85-2.86, 1 Tc 3.18, 1 Tb 3.19
Tb 0.1497 0.5772 0.1819  1 Tc 2.83, 1 Pt 3.16
Tb 0.2806 0.0333 0.5924  2 Pt 2.85-2.86, 1 Tc 3.18, 1 Tb 3.19
Tb 0.4399 0.6891 0.7882  2 Pt 2.86-2.89, 1 Tc 3.20
Tb 0.5772 0.1497 0.1819  1 Tc 2.83, 1 Pt 3.16
Tb 0.6891 0.4399 0.7882  2 Pt 2.86-2.89, 1 Tc 3.20
Tb 0.7158 0.7158 0.3571  1 Tc 2.93, 2 Pt 3.08
Tc 0.3562 0.3562 0.0704  4 Tb 2.83-2.93
Pt 0.0475 0.6656 0.6765  8 Tb 2.85-3.19
Pt 0.6656 0.0475 0.6765  8 Tb 2.85-3.19

(4)
## Ca8ZnAg2 (PBE)

Data for Ca8ZnAg2 after structural relaxation.

Values from the calculation:
crystal system = monoclinic
energy of formation = -123 meV per atom
excess energy over the best structure of this formula in the dataset = 28 meV/atom
total moment = 0.00 μB/atom
calculated density = 2.672 g/cm3

Cell lengths 8.3003, 8.3003, 6.1523 Å; angles 99.70, 99.70, 112.23 degrees
Closest atoms and distances in Å follow each position.
Fractional coordinates of all 11 atoms:
Ca 0.0000 0.0000 0.0000  2 Ag 3.26, 1 Zn 3.32
Ca 0.0331 0.2891 0.5954  2 Ag 3.08-3.11, 1 Zn 3.30
Ca 0.1440 0.5894 0.1866  1 Zn 3.21, 2 Ag 3.30-3.34
Ca 0.2891 0.0331 0.5954  2 Ag 3.08-3.11, 1 Zn 3.30
Ca 0.4392 0.6962 0.7882  2 Ag 3.09-3.13, 1 Zn 3.27
Ca 0.5894 0.1440 0.1866  1 Zn 3.21, 2 Ag 3.30-3.34
Ca 0.6962 0.4392 0.7882  2 Ag 3.09-3.13, 1 Zn 3.27
Ca 0.7291 0.7291 0.3669  2 Ag 3.23, 1 Zn 3.37
Zn 0.3653 0.3653 0.0350  8 Ca 3.21-3.37
Ag 0.0485 0.6749 0.6811  8 Ca 3.08-3.34
Ag 0.6749 0.0485 0.6811  8 Ca 3.08-3.34

(5)
## CeYCo (PBE)

Data for CeYCo after structural relaxation.

Values from the calculation:
crystal system = monoclinic
energy of formation = -176 meV per atom
excess energy over the best structure of this formula in the dataset = 0 meV/atom
total moment = 0.00 μB/atom
calculated density = 6.711 g/cm3

Cell lengths 5.8300, 4.0726, 6.2933 Å; angles 90.00, 107.50, 90.00 degrees
Closest atoms and distances in Å follow each position.
Fractional coordinates of all 6 atoms:
Ce 0.0026 0.2500 0.1899  3 Co 2.55-2.67
Ce 0.9974 0.7500 0.8101  3 Co 2.55-2.67
Y 0.4408 0.2500 0.7106  4 Co 2.90-3.19
Y 0.5592 0.7500 0.2894  4 Co 2.90-3.19
Co 0.1323 0.7500 0.4412  3 Ce 2.55-2.67, 2 Co 2.79
Co 0.8677 0.2500 0.5588  3 Ce 2.55-2.67, 2 Co 2.79

(6)
## LaTbPm5Sm2 (PBE)

Data for LaTbPm5Sm2 after structural relaxation.

Values from the calculation:
crystal system = tetragonal
energy of formation = 266 meV per atom
total moment = 0.00 μB/atom
calculated density = 7.019 g/cm3

Cell lengths 10.0647, 10.0647, 10.0647 Å; angles 127.25, 127.25, 77.85 degrees
Closest atoms and distances in Å follow each position.
Fractional coordinates of all 18 atoms:
La 0.2500 0.2500 0.0000  10 Pm 3.67-3.92
La 0.7500 0.7500 0.0000  10 Pm 3.67-3.92
Tb 0.2500 0.7500 0.5000  4 Pm 3.16
Tb 0.7500 0.2500 0.5000  4 Pm 3.16
Pm 0.0000 0.0000 0.0000  4 Sm 3.59, 8 Pm 3.85, 2 La 3.92
Pm 0.0702 0.5702 0.9124  1 Sm 3.09, 1 Tb 3.16
Pm 0.1578 0.0702 0.5000  1 Sm 3.09, 1 Tb 3.16
Pm 0.3422 0.8422 0.9124  1 Sm 3.09, 1 Tb 3.16
Pm 0.4298 0.3422 0.5000  1 Sm 3.09, 1 Tb 3.16
Pm 0.5000 0.5000 0.0000  4 Sm 3.59, 8 Pm 3.85, 2 La 3.92
Pm 0.5702 0.6578 0.5000  1 Sm 3.09, 1 Tb 3.16
Pm 0.6578 0.1578 0.0876  1 Sm 3.09, 1 Tb 3.16
Pm 0.8422 0.9298 0.5000  1 Sm 3.09, 1 Tb 3.16
Pm 0.9298 0.4298 0.0876  1 Sm 3.09, 1 Tb 3.16
Sm 0.1164 0.3836 0.5000  1 Sm 2.94, 2 Pm 3.09
Sm 0.3836 0.8836 0.2673  1 Sm 2.94, 2 Pm 3.09
Sm 0.6164 0.1164 0.7327  1 Sm 2.94, 2 Pm 3.09
Sm 0.8836 0.6164 0.5000  1 Sm 2.94, 2 Pm 3.09

(7)
## La2AlRh (PBE)

Data for La2AlRh after structural relaxation.

Values from the calculation:
crystal system = tetragonal
energy of formation = -340 meV per atom
total moment = 0.00 μB/atom
calculated density = 7.016 g/cm3

Cell lengths 5.8567, 5.8567, 5.8567 Å; angles 135.74, 135.74, 64.38 degrees
Closest atoms and distances in Å follow each position.
Fractional coordinates of all 4 atoms:
La 0.0000 0.0000 0.0000  4 Al 3.12, 4 La 3.32, 4 Rh 3.32
La 0.7500 0.2500 0.5000  4 Rh 3.12, 4 Al 3.32, 4 La 3.32
Al 0.5000 0.5000 0.0000  8 La 3.12-3.32, 4 Rh 3.32
Rh 0.2500 0.7500 0.5000  8 La 3.12-3.32, 4 Al 3.32

(8)
## AsRuIN2 (PBE)

Data for AsRuIN2 after structural relaxation.

Values from the calculation:
crystal system = tetragonal
excess energy over the best structure of this formula in the dataset = 0 meV/atom
total moment = 0.00 μB/atom
calculated density = 5.977 g/cm3
formation energy (no corrections) = 1.1774 eV per atom

Cell lengths 3.8710, 3.8710, 6.1348 Å; angles 90.00, 90.00, 90.00 degrees
Closest atoms and distances in Å follow each position.
Fractional coordinates of all 5 atoms:
As 0.0000 0.0000 0.0000  4 I 2.74
Ru 0.5000 0.5000 0.5000  4 N 1.94
I 0.5000 0.5000 0.0000  4 As 2.74
N 0.0000 0.5000 0.5000  2 Ru 1.94
N 0.5000 0.0000 0.5000  2 Ru 1.94